Record 1
Below is RbLiSO4 after structural relaxation, with properties calculated at the GGA-PBEsol level.

Spin magnetization (μB per atom): 0.0001
Density (Mg/m³): 3.01
Total energy (eV per atom): -5.993
Volume (Å³ per atom): 14.85

abc: 5.2675 8.6987 10.4744
angles: 90.00 119.97 90.00
Closest atoms and distances in Å follow each position.
Space group P2_1/c (No. 14)
Unique sites:
Rb 0.0020 0.0062 0.2700 (multiplicity 4)  7 O 2.85-3.14
Li 0.3330 0.6819 0.5908 (multiplicity 4)  4 O 1.91-1.95
S 0.3294 0.2065 0.0761 (multiplicity 4)  4 O 1.48-1.49
O 0.0449 0.2319 0.5516 (multiplicity 4)  1 S 1.49
O 0.3351 0.0373 0.0927 (multiplicity 4)  1 S 1.48
O 0.3636 0.2471 0.9474 (multiplicity 4)  1 S 1.49
O 0.4245 0.7260 0.7883 (multiplicity 4)  1 S 1.48

---

Record 2
Below is NaCo2Pb2 after structural relaxation, with properties calculated at the GGA-PBEsol level.

Spin magnetization (μB per atom): 0.4082
Calculated formation energy (kJ/mol of atoms): 39.70
Density (Mg/m³): 9.19
Volume (Å³ per atom): 20.08

abc: 4.8570 4.8570 8.5102
angles: 90.00 90.00 90.00
Closest atoms and distances in Å follow each position.
Space group I4/mmm (No. 139)
Unique sites:
Na 0.0000 0.0000 0.0000 (multiplicity 2)  2 Co 3.19, 8 Pb 3.23
Co 0.0000 0.0000 0.3750 (multiplicity 4)  1 Co 2.13
Pb 0.0000 0.5000 0.2500 (multiplicity 4)  4 Co 2.65

---

Record 3
Below is SrAsRh after structural relaxation, with properties calculated at the GGA-PBEsol level.

Spin magnetization (μB per atom): 0.0000
Calculated formation energy (kJ/mol of atoms): -49.81
Density (Mg/m³): 7.10
Volume (Å³ per atom): 20.69

abc: 3.3973 3.3973 10.7556
angles: 90.00 90.00 90.00
Closest atoms and distances in Å follow each position.
Space group I4mm (No. 107)
Unique sites:
Sr 0.0000 0.0000 0.0000 (multiplicity 2)  5 Rh 3.10-3.31, 5 As 3.14-3.29, 4 Sr 3.40
As 0.0000 0.0000 0.7085 (multiplicity 2)  4 Rh 2.55
Rh 0.0000 0.0000 0.2882 (multiplicity 2)  4 As 2.55

---

Record 4
Below is CaTeMo2 after structural relaxation, with properties calculated at the GGA-PBEsol level.

Spin magnetization (μB per atom): 0.0001
Density (Mg/m³): 7.03
Total energy (eV per atom): -6.957
Volume (Å³ per atom): 21.23

abc: 9.9647 3.3855 5.1465
angles: 90.00 101.97 90.00
Closest atoms and distances in Å follow each position.
Space group C2/m (No. 12)
Unique sites:
Ca 0.0000 0.0000 0.0000 (multiplicity 2)  4 Te 3.08, 6 Mo 3.21-3.30, 2 Ca 3.39
Te 0.0000 0.5000 0.5000 (multiplicity 2)  6 Mo 2.88-2.91, 4 Ca 3.08
Mo 0.2368 0.0000 0.6631 (multiplicity 4)  2 Mo 2.44